--- one ---
# TlPOsS2

Crystalline TlPOsS2 at its relaxed geometry (GGA-PBE, Alexandria).

Results
Its crystal system is tetragonal. As for the density of states at the Fermi level: 6.1 states/eV per cell. As for the volume: 21.513 Å³/atom.

Lattice parameters (Å, degrees): 4.889 4.889 4.499 90.00 90.00 90.00
Atoms (fractional coordinates):
P 0.000 0.000 0.500
Tl 0.500 0.500 0.500
Os 0.000 0.000 0.000
S 0.000 0.500 0.000
S 0.500 0.000 0.000

--- two ---
# TlPOsS2

Crystalline TlPOsS2 at its relaxed geometry (GGA-PBE, Alexandria).

Results
Its crystal system is tetragonal. As for the density of states at the Fermi level: 5.8 states/eV per cell. As for the volume: 25.457 Å³/atom.

Lattice parameters (Å, degrees): 4.975 4.975 5.142 90.00 90.00 90.00
Atoms (fractional coordinates):
P 0.000 0.000 0.500
Tl 0.000 0.000 0.000
Os 0.500 0.500 0.500
S 0.000 0.500 0.000
S 0.500 0.000 0.000

Out of the structures above, which one is the most stable? Solution: one.